--- w ---
VASP calculation (PBE-GGA) on a relaxed Pr2YI crystal.

Cell and atoms, written as POSCAR:
```
Pr2YI
1.0
1.838 1.061 11.964
-1.838 1.061 11.964
0.000 -2.123 11.964
Pr Y I
2 1 1
direct
0.095 0.095 0.095 Pr
0.905 0.905 0.905 Pr
0.000 0.000 0.000 Y
0.500 0.500 0.500 I
```

Summary:
- space group = No. 166
- crystal system = trigonal
- density of states at the Fermi level (states/eV/f.u.) = 6.66

=====

--- x ---
VASP calculation (PBE-GGA) on a relaxed Pr2YI crystal.

Cell and atoms, written as POSCAR:
```
Pr2YI
1.0
1.919 1.108 10.887
-1.919 1.108 10.887
0.000 -2.216 10.887
Pr Y I
2 1 1
direct
0.000 0.000 0.000 Pr
0.155 0.155 0.155 Pr
0.578 0.578 0.578 Y
0.411 0.411 0.411 I
```

Summary:
- space group = No. 160
- crystal system = trigonal
- density of states at the Fermi level (states/eV/f.u.) = 5.01

=====

--- y ---
VASP calculation (PBE-GGA) on a relaxed Pr2YI crystal.

Cell and atoms, written as POSCAR:
```
Pr2YI
1.0
3.732 0.000 0.000
0.000 3.732 0.000
0.000 0.000 9.822
Pr Y I
2 1 1
direct
0.000 0.000 0.240 Pr
0.000 0.000 0.760 Pr
0.500 0.500 0.500 Y
0.500 0.500 0.000 I
```

Summary:
- space group = No. 123
- crystal system = tetragonal
- density of states at the Fermi level (states/eV/f.u.) = 3.89

=====

Relative to the most stable structure, the computed energies are w 272; x 0; y 53, all in meV per atom.

=====

--- w ---
VASP calculation (PBE-GGA) on a relaxed PrY2I crystal.

Cell and atoms, written as POSCAR:
```
PrY2I
1.0
1.816 1.049 11.802
-1.816 1.049 11.802
0.000 -2.097 11.802
Pr Y I
1 2 1
direct
0.000 0.000 0.000 Pr
0.097 0.097 0.097 Y
0.903 0.903 0.903 Y
0.500 0.500 0.500 I
```

Summary:
- space group = No. 166
- crystal system = trigonal
- density of states at the Fermi level (states/eV/f.u.) = 8.09

=====

--- x ---
VASP calculation (PBE-GGA) on a relaxed PrY2I crystal.

Cell and atoms, written as POSCAR:
```
PrY2I
1.0
1.899 1.096 10.609
-1.899 1.096 10.609
0.000 -2.193 10.609
Pr Y I
1 2 1
direct
0.000 0.000 0.000 Pr
0.577 0.577 0.577 Y
0.757 0.757 0.757 Y
0.167 0.167 0.167 I
```

Summary:
- space group = No. 160
- crystal system = trigonal
- density of states at the Fermi level (states/eV/f.u.) = 6.10

=====

Relative to the most stable structure, the computed energies are w 266; x 0, all in meV per atom.

=====

--- w ---
VASP calculation (PBE-GGA) on a relaxed Pr2ZnI crystal.

Cell and atoms, written as POSCAR:
```
Pr2ZnI
1.0
2.037 1.176 8.646
-2.037 1.176 8.646
0.000 -2.352 8.646
Pr Zn I
2 1 1
direct
0.000 0.000 0.000 Pr
0.184 0.184 0.184 Pr
0.592 0.592 0.592 Zn
0.425 0.425 0.425 I
```

Summary:
- space group = No. 160
- crystal system = trigonal
- density of states at the Fermi level (states/eV/f.u.) = 4.15

=====

--- x ---
VASP calculation (PBE-GGA) on a relaxed Pr2ZnI crystal.

Cell and atoms, written as POSCAR:
```
Pr2ZnI
1.0
3.718 0.000 0.000
0.000 3.718 0.000
0.000 0.000 8.450
Pr Zn I
2 1 1
direct
0.000 0.000 0.219 Pr
0.000 0.000 0.781 Pr
0.500 0.500 0.000 Zn
0.500 0.500 0.500 I
```

Summary:
- space group = No. 123
- crystal system = tetragonal
- density of states at the Fermi level (states/eV/f.u.) = 3.60

=====

Relative to the most stable structure, the computed energies are w 0; x 47, all in meV per atom.